No. 1
VASP calculation (GGA-PBE) on a relaxed TaTiC2 crystal.

Its density of states at the Fermi level is 0.653 states/eV/atom. The excess energy over the best structure of this formula in the dataset is 260 meV/atom. The calculation puts the final energy at -10.037 eV per atom.

It has space group R3m (No. 160, hexagonal axes), with a = 3.1051 Å, b = 3.1051 Å, c = 15.9491 Å, α = 90.00°, β = 90.00° and γ = 120.00°. The asymmetric unit holds Ta at (0.0000, 0.0000, 0.0000), Ti at (0.0000, 0.0000, 0.8240), C at (0.0000, 0.0000, 0.4114) and C at (0.0000, 0.0000, 0.5794).

---

No. 2
VASP calculation (GGA-PBE) on a relaxed Li4TaMn crystal.

Its density of states at the Fermi level is 0.749 states/eV/atom. The calculation puts the final energy at -4.255 eV per atom.

It has space group F-43m (No. 216), with a = 7.039 Å, b = 7.039 Å, c = 7.039 Å, α = 90.00°, β = 90.00° and γ = 90.00°. The asymmetric unit holds Li at (0.124, 0.124, 0.124), Ta at (0.000, 0.000, 0.500) and Mn at (0.250, 0.250, 0.750).

---

No. 3
VASP calculation (GGA-PBE) on a relaxed LaNd2Cu9 crystal.

Its density of states at the Fermi level is 0.620 states/eV/atom. The excess energy over the best structure of this formula in the dataset is 0 meV/atom. The calculation puts the final energy at -4.416 eV per atom.

It has space group R-3m (No. 166, hexagonal axes), with a = 5.3155 Å, b = 5.3155 Å, c = 25.0706 Å, α = 90.00°, β = 90.00° and γ = 120.00°. The asymmetric unit holds La at (0.0000, 0.0000, 0.0000), Nd at (0.0000, 0.0000, 0.1462), Cu at (0.0000, 0.0000, 0.3310), Cu at (0.0000, 0.0000, 0.5000) and Cu at (0.0074, 0.5037, 0.0811).

---

No. 4
VASP calculation (GGA-PBE) on a relaxed Rb3NaTl crystal.

Its density of states at the Fermi level is 0.606 states/eV/atom. The excess energy over the best structure of this formula in the dataset is 0 meV/atom. The calculation puts the final energy at -1.326 eV per atom.

It has space group P-1 (No. 2), with a = 5.049 Å, b = 10.937 Å, c = 11.580 Å, α = 87.15°, β = 89.98° and γ = 76.81°. The asymmetric unit holds Rb at (0.064, 0.371, 0.219), Rb at (0.244, 0.010, 0.807), Rb at (0.396, 0.705, 0.431), Na at (0.416, 0.670, 0.069) and Tl at (0.217, 0.066, 0.445).

---

No. 5
VASP calculation (GGA-PBE) on a relaxed Li4Ac3Mg4 crystal.

Its density of states at the Fermi level is 1.127 states/eV/atom. The calculation puts the final energy at -2.364 eV per atom.

It has space group Immm (No. 71), with a = 5.434 Å, b = 7.398 Å, c = 15.952 Å, α = 90.00°, β = 90.00° and γ = 90.00°. The asymmetric unit holds Li at (0.000, 0.186, 0.171), Ac at (0.000, 0.000, 0.374), Ac at (0.000, 0.500, 0.500), Mg at (0.000, 0.304, 0.000) and Mg at (0.000, 0.500, 0.282).

---

No. 6
VASP calculation (GGA-PBE) on a relaxed KLi2ZnAg crystal.

Its density of states at the Fermi level is 0.492 states/eV/atom. The calculation puts the final energy at -1.766 eV per atom.

It has space group P4/mmm (No. 123), with a = 5.171 Å, b = 5.171 Å, c = 5.100 Å, α = 90.00°, β = 90.00° and γ = 90.00°. The asymmetric unit holds K at (0.000, 0.000, 0.000), Li at (0.000, 0.500, 0.500), Zn at (0.500, 0.500, 0.000) and Ag at (0.500, 0.500, 0.500).

---

Number 1: DFT formation energy -0.49 eV/atom, ρ 9.5 g cm⁻³. Number 2: DFT formation energy 0.52 eV/atom, ρ 5.0 g cm⁻³. Number 3: DFT formation energy -0.14 eV/atom, ρ 8.1 g cm⁻³. Number 4: DFT formation energy -0.01 eV/atom, ρ 2.6 g cm⁻³. Number 5: DFT formation energy 0.03 eV/atom, ρ 4.2 g cm⁻³. Number 6: DFT formation energy 0.04 eV/atom, ρ 2.8 g cm⁻³.